No. 1
{"formula": "BaV2Cu3H2O10", "functional": "SCAN", "state": "single point on PBEsol structure", "total_energy_ev_per_cell": -223.37, "magnetic_moment_mub_per_fu": 3.0, "mass_density_g_cm3": 4.8, "cell": [[5.052, -2.950, 0.000], [5.052, 2.950, 0.000], [-3.614, 0.000, 6.867]], "species": ["Ba", "V", "V", "Cu", "Cu", "Cu", "H", "H", "O", "O", "O", "O", "O", "O", "O", "O", "O", "O"], "fractional_positions": [[0.000, 0.000, 0.000], [0.418, 0.418, 0.230], [0.582, 0.582, 0.770], [0.000, 0.000, 0.500], [0.000, 0.500, 0.500], [0.500, 0.000, 0.500], [0.265, 0.265, 0.781], [0.735, 0.735, 0.219], [0.211, 0.211, 0.625], [0.228, 0.718, 0.684], [0.282, 0.282, 0.301], [0.282, 0.772, 0.316], [0.335, 0.335, 0.983], [0.665, 0.665, 0.017], [0.718, 0.228, 0.684], [0.718, 0.718, 0.699], [0.772, 0.282, 0.316], [0.789, 0.789, 0.375]]}

=====

No. 2
{"formula": "BaLiHf2Cu", "functional": "SCAN", "state": "single point on PBEsol structure", "e_form_ev_per_atom": 2.067, "total_energy_ev_per_cell": -172.15, "magnetic_moment_mub_per_fu": 0.0, "mass_density_g_cm3": 7.5, "cell": [[5.244, 0.000, 0.000], [0.000, 5.244, 0.000], [0.000, 0.000, 4.550]], "species": ["Ba", "Li", "Hf", "Hf", "Cu"], "fractional_positions": [[0.000, 0.000, 0.000], [0.000, 0.000, 0.500], [0.000, 0.500, 0.000], [0.500, 0.000, 0.000], [0.500, 0.500, 0.500]]}

=====

Question: Number 1 is which compound?
Answer: BaV2Cu3H2O10